This record from the Alexandria database describes crystalline FeRuNF2 at its relaxed geometry. The functional is GGA+U.

- SG = P4/mmm
- excess energy over the best structure of this formula in the dataset (meV per atom) = 260.0

Lattice parameters (Å, degrees): 3.8053 3.8053 4.3317 90.00 90.00 90.00
Element x y z (fractional)
Fe 0.0000 0.0000 0.0000
Ru 0.5000 0.5000 0.5000
N 0.0000 0.0000 0.5000
F 0.0000 0.5000 0.0000
F 0.5000 0.0000 0.0000